First-principles (GGA-PBE) data for a relaxed Sm3DyPb2C crystal, as listed in the Alexandria database.

Output
Space-group type: No. 71
Energy relative to the elements, meV per atom: -522
Total moment, μB/cell: 0.000

Lattice parameters (Å, degrees): 8.9381 8.9381 8.9381 148.43 147.86 45.67
With the nearest neighbours (Å) after each atom.
Element x y z (fractional)
Sm1 0.0000 0.0000 0.0000  2 C 2.47
Sm2 0.3411 0.8411 0.5000  1 C 2.62
Sm3 0.6589 0.1589 0.5000  1 C 2.62
Dy1 0.5000 0.5000 0.0000  2 C 2.43
Pb1 0.1405 0.6405 0.5000  7 Sm 3.31-3.48, 2 Dy 3.39
Pb2 0.8595 0.3595 0.5000  7 Sm 3.31-3.48, 2 Dy 3.39
C1 0.5000 0.0000 0.5000  2 Dy 2.43, 4 Sm 2.47-2.62



First-principles (GGA-PBE) data for a relaxed Sm2Dy2Pb2C crystal, as listed in the Alexandria database.

Output
Space-group type: No. 139
Energy relative to the elements, meV per atom: -570
Total moment, μB/cell: 0.000

Lattice parameters (Å, degrees): 8.9078 8.9078 8.9078 148.39 148.39 45.30
With the nearest neighbours (Å) after each atom.
Element x y z (fractional)
Sm1 0.1587 0.1587 0.0000  1 C 2.61
Sm2 0.8413 0.8413 0.0000  1 C 2.61
Dy1 0.0000 0.5000 0.5000  2 C 2.43
Dy2 0.5000 0.0000 0.5000  2 C 2.43
Pb1 0.3603 0.3603 0.0000  5 Sm 3.32-3.44, 4 Dy 3.34
Pb2 0.6397 0.6397 0.0000  5 Sm 3.32-3.44, 4 Dy 3.34
C1 0.0000 0.0000 0.0000  4 Dy 2.43, 2 Sm 2.61



First-principles (GGA-PBE) data for a relaxed Tb3DyPb2C crystal, as listed in the Alexandria database.

Output
Space-group type: No. 71
Energy relative to the elements, meV per atom: -546
Total moment, μB/cell: 0.000

Lattice parameters (Å, degrees): 8.7883 8.7883 8.7883 148.06 147.93 45.89
With the nearest neighbours (Å) after each atom.
Element x y z (fractional)
Tb1 0.0000 0.0000 0.0000  2 C 2.43
Tb2 0.3424 0.8424 0.5000  1 C 2.55
Tb3 0.6576 0.1576 0.5000  1 C 2.55
Dy1 0.5000 0.5000 0.0000  2 C 2.42
Pb1 0.1419 0.6419 0.5000  7 Tb 3.25-3.44, 2 Dy 3.34
Pb2 0.8581 0.3581 0.5000  7 Tb 3.25-3.44, 2 Dy 3.34
C1 0.5000 0.0000 0.5000  2 Dy 2.42, 4 Tb 2.43-2.55



First-principles (GGA-PBE) data for a relaxed Tb2DyPbC crystal, as listed in the Alexandria database.

Output
Space-group type: No. 123
Energy relative to the elements, meV per atom: -532
Total moment, μB/cell: 0.000

Lattice parameters (Å, degrees): 4.9498 4.9498 4.9206 90.00 90.00 90.00
With the nearest neighbours (Å) after each atom.
Element x y z (fractional)
Tb1 0.0000 0.5000 0.0000  2 C 2.47
Tb2 0.5000 0.0000 0.0000  2 C 2.47
Dy1 0.0000 0.0000 0.5000  2 C 2.46
Pb1 0.5000 0.5000 0.5000  8 Tb 3.49, 4 Dy 3.50
C1 0.0000 0.0000 0.0000  2 Dy 2.46, 4 Tb 2.47



First-principles (GGA-PBE) data for a relaxed Dy2ThPbC crystal, as listed in the Alexandria database.

Output
Space-group type: No. 123
Energy relative to the elements, meV per atom: -425
Total moment, μB/cell: 0.000

Lattice parameters (Å, degrees): 4.9637 4.9637 5.0538 90.00 90.00 90.00
With the nearest neighbours (Å) after each atom.
Element x y z (fractional)
Dy1 0.0000 0.5000 0.0000  2 C 2.48
Dy2 0.5000 0.0000 0.0000  2 C 2.48
Th1 0.0000 0.0000 0.5000  2 C 2.53
Pb1 0.5000 0.5000 0.5000  4 Th 3.51, 8 Dy 3.54
C1 0.0000 0.0000 0.0000  4 Dy 2.48, 2 Th 2.53



First-principles (GGA-PBE) data for a relaxed DyTm3Pb2C crystal, as listed in the Alexandria database.

Output
Space-group type: No. 71
Energy relative to the elements, meV per atom: -538
Total moment, μB/cell: 0.000

Lattice parameters (Å, degrees): 8.6353 8.6353 8.6353 148.00 147.62 46.17
With the nearest neighbours (Å) after each atom.
Element x y z (fractional)
Dy1 0.0000 0.0000 0.0000  2 C 2.41
Tm1 0.3440 0.8440 0.5000  1 C 2.48
Tm2 0.5000 0.5000 0.0000  2 C 2.38
Tm3 0.6560 0.1560 0.5000  1 C 2.48
Pb1 0.1435 0.6435 0.5000  7 Tm 3.19-3.39, 2 Dy 3.30
Pb2 0.8565 0.3565 0.5000  7 Tm 3.19-3.39, 2 Dy 3.30
C1 0.5000 0.0000 0.5000  4 Tm 2.38-2.48, 2 Dy 2.41



First-principles (GGA-PBE) data for a relaxed Dy3TmPb2C crystal, as listed in the Alexandria database.

Output
Space-group type: No. 71
Energy relative to the elements, meV per atom: -568
Total moment, μB/cell: 0.000

Lattice parameters (Å, degrees): 8.7310 8.7310 8.7310 148.29 147.93 45.72
With the nearest neighbours (Å) after each atom.
Element x y z (fractional)
Dy1 0.0000 0.0000 0.0000  2 C 2.41
Dy2 0.3429 0.8429 0.5000  1 C 2.53
Dy3 0.6571 0.1571 0.5000  1 C 2.53
Tm1 0.5000 0.5000 0.0000  2 C 2.39
Pb1 0.1419 0.6419 0.5000  7 Dy 3.23-3.40, 2 Tm 3.32
Pb2 0.8581 0.3581 0.5000  7 Dy 3.23-3.40, 2 Tm 3.32
C1 0.5000 0.0000 0.5000  2 Tm 2.39, 4 Dy 2.41-2.53



First-principles (GGA-PBE) data for a relaxed Dy3YPb2C crystal, as listed in the Alexandria database.

Output
Space-group type: No. 71
Energy relative to the elements, meV per atom: -554
Total moment, μB/cell: 0.000

Lattice parameters (Å, degrees): 8.7516 8.7516 8.7516 147.96 147.95 45.95
With the nearest neighbours (Å) after each atom.
Element x y z (fractional)
Dy1 0.0000 0.0000 0.0000  2 C 2.42
Dy2 0.3428 0.8428 0.5000  1 C 2.53
Dy3 0.6572 0.1572 0.5000  1 C 2.53
Y1 0.5000 0.5000 0.0000  2 C 2.42
Pb1 0.1424 0.6424 0.5000  7 Dy 3.23-3.42, 2 Y 3.33
Pb2 0.8576 0.3576 0.5000  7 Dy 3.23-3.42, 2 Y 3.33
C1 0.5000 0.0000 0.5000  2 Y 2.42, 4 Dy 2.42-2.53



First-principles (GGA-PBE) data for a relaxed Dy2YPbC crystal, as listed in the Alexandria database.

Output
Space-group type: No. 123
Energy relative to the elements, meV per atom: -551
Total moment, μB/cell: 0.000

Lattice parameters (Å, degrees): 4.9233 4.9233 4.9235 90.00 90.00 90.00
With the nearest neighbours (Å) after each atom.
Element x y z (fractional)
Dy1 0.0000 0.5000 0.0000  2 C 2.46
Dy2 0.5000 0.0000 0.0000  2 C 2.46
Y1 0.0000 0.0000 0.5000  2 C 2.46
Pb1 0.5000 0.5000 0.5000  4 Y 3.48, 8 Dy 3.48
C1 0.0000 0.0000 0.0000  4 Dy 2.46, 2 Y 2.46



First-principles (GGA-PBE) data for a relaxed Dy3PdC crystal, as listed in the Alexandria database.

Output
Space-group type: No. 221
Energy relative to the elements, meV per atom: -344
Total moment, μB/cell: 0.000

Lattice parameters (Å, degrees): 4.8365 4.8365 4.8365 90.00 90.00 90.00
With the nearest neighbours (Å) after each atom.
Element x y z (fractional)
Dy1 0.0000 0.0000 0.5000  2 C 2.42
Dy2 0.0000 0.5000 0.0000  2 C 2.42
Dy3 0.5000 0.0000 0.0000  2 C 2.42
Pd1 0.5000 0.5000 0.5000  12 Dy 3.42
C1 0.0000 0.0000 0.0000  6 Dy 2.42



First-principles (GGA-PBE) data for a relaxed Dy4PdC2 crystal, as listed in the Alexandria database.

Output
Space-group type: No. 63
Energy relative to the elements, meV per atom: -394
Total moment, μB/cell: 0.001

Lattice parameters (Å, degrees): 6.3702 6.3702 12.7227 90.00 90.00 146.63
With the nearest neighbours (Å) after each atom.
Element x y z (fractional)
Dy1 0.0000 0.0000 0.0000  4 C 2.59
Dy2 0.0000 0.0000 0.5000  4 C 2.59
Dy3 0.2673 0.7327 0.6070  3 C 2.44-2.50
Dy4 0.2673 0.7327 0.8930  3 C 2.44-2.50
Dy5 0.4309 0.5691 0.2500  2 C 2.54
Dy6 0.5691 0.4309 0.7500  2 C 2.54
Dy7 0.7327 0.2673 0.1070  3 C 2.44-2.50
Dy8 0.7327 0.2673 0.3930  3 C 2.44-2.50
Pd1 0.1111 0.8889 0.2500  6 Dy 2.86-2.98
Pd2 0.8889 0.1111 0.7500  6 Dy 2.86-2.98
C1 0.3643 0.6357 0.0608  6 Dy 2.44-2.59
C2 0.3643 0.6357 0.4392  6 Dy 2.44-2.59
C3 0.6357 0.3643 0.5608  6 Dy 2.44-2.59
C4 0.6357 0.3643 0.9392  6 Dy 2.44-2.59



First-principles (GGA-PBE) data for a relaxed Dy2PdC crystal, as listed in the Alexandria database.

Output
Space-group type: No. 166
Energy relative to the elements, meV per atom: -478
Total moment, μB/cell: 0.000

Lattice parameters (Å, degrees): 7.1936 7.1936 7.1936 29.34 29.34 29.34
With the nearest neighbours (Å) after each atom.
Element x y z (fractional)
Dy1 0.2329 0.2329 0.2329  3 C 2.51
Dy2 0.7671 0.7671 0.7671  3 C 2.51
Pd1 0.0000 0.0000 0.0000  6 Dy 2.95
C1 0.5000 0.5000 0.5000  6 Dy 2.51